# CePuTcGe, relaxed, DFT PBE
# * ΔH_f (0 K): -0.240 eV/atom
# * crystal system: cubic
# * M_tot: 5.4 μB per formula unit
# * calculated total energy: -9.05 eV/atom
data_CePuTcGe
_chemical_formula_sum 'Ce4 Pu4 Tc4 Ge4'
_cell_length_a 6.802
_cell_length_b 6.802
_cell_length_c 6.802
_cell_angle_alpha 90.00
_cell_angle_beta 90.00
_cell_angle_gamma 90.00
_space_group_name_H-M_alt 'F -4 3 m'
_space_group_IT_number 216
_space_group_name_Hall 'F -4 2 3'
loop_
_atom_site_label
_atom_site_fract_x
_atom_site_fract_y
_atom_site_fract_z
Ce1 0.000 0.000 0.000
Pu1 0.250 0.250 0.750
Tc1 0.000 0.000 0.500
Ge1 0.250 0.250 0.250

---

# Ce5PuTlGe2, relaxed, DFT PBE
# * ΔH_f (0 K): -0.368 eV/atom
# * crystal system: tetragonal
# * M_tot: 9.7 μB per formula unit
# * calculated total energy: -6.55 eV/atom
data_Ce5PuTlGe2
_chemical_formula_sum 'Ce20 Pu4 Tl4 Ge8'
_cell_length_a 7.700
_cell_length_b 7.700
_cell_length_c 15.784
_cell_angle_alpha 90.00
_cell_angle_beta 90.00
_cell_angle_gamma 90.00
_space_group_name_H-M_alt 'I 4/m c m'
_space_group_IT_number 140
_space_group_name_Hall '-I 4 2c'
loop_
_atom_site_label
_atom_site_fract_x
_atom_site_fract_y
_atom_site_fract_z
Ce1 0.000 0.000 0.000
Ce2 0.177 0.323 0.133
Pu1 0.000 0.500 0.250
Tl1 0.000 0.000 0.250
Ge1 0.123 0.377 0.500

---

# Ce2Pu2TlGe, relaxed, DFT PBE
# * ΔH_f (0 K): -0.214 eV/atom
# * crystal system: trigonal
# * M_tot: 14.1 μB per formula unit
# * calculated total energy: -8.13 eV/atom
data_Ce2Pu2TlGe
_chemical_formula_sum 'Ce2 Pu2 Tl1 Ge1'
_cell_length_a 4.9841
_cell_length_b 4.9841
_cell_length_c 6.8382
_cell_angle_alpha 90.00
_cell_angle_beta 90.00
_cell_angle_gamma 120.00
_space_group_name_H-M_alt 'P -3 m 1'
_space_group_IT_number 164
_space_group_name_Hall '-P 3 2"'
loop_
_atom_site_label
_atom_site_fract_x
_atom_site_fract_y
_atom_site_fract_z
Ce1 0.3333 0.6667 0.2749
Pu1 0.3333 0.6667 0.8324
Tl1 0.0000 0.0000 0.5000
Ge1 0.0000 0.0000 0.0000

---

# CePuUGe, relaxed, DFT PBE
# * ΔH_f (0 K): -0.001 eV/atom
# * crystal system: cubic
# * M_tot: 9.0 μB per formula unit
# * calculated total energy: -9.04 eV/atom
data_CePuUGe
_chemical_formula_sum 'Ce4 Pu4 U4 Ge4'
_cell_length_a 7.115
_cell_length_b 7.115
_cell_length_c 7.115
_cell_angle_alpha 90.00
_cell_angle_beta 90.00
_cell_angle_gamma 90.00
_space_group_name_H-M_alt 'F -4 3 m'
_space_group_IT_number 216
_space_group_name_Hall 'F -4 2 3'
loop_
_atom_site_label
_atom_site_fract_x
_atom_site_fract_y
_atom_site_fract_z
Ce1 0.000 0.000 0.000
Pu1 0.000 0.000 0.500
U1 0.250 0.250 0.750
Ge1 0.250 0.250 0.250

---

# CePuZn2Ge2, relaxed, DFT PBE
# * ΔH_f (0 K): -0.443 eV/atom
# * crystal system: trigonal
# * M_tot: 6.8 μB per formula unit
# * calculated total energy: -5.78 eV/atom
data_CePuZn2Ge2
_chemical_formula_sum 'Ce1 Pu1 Zn2 Ge2'
_cell_length_a 4.5018
_cell_length_b 4.5018
_cell_length_c 7.0493
_cell_angle_alpha 90.00
_cell_angle_beta 90.00
_cell_angle_gamma 120.00
_space_group_name_H-M_alt 'P -3 m 1'
_space_group_IT_number 164
_space_group_name_Hall '-P 3 2"'
loop_
_atom_site_label
_atom_site_fract_x
_atom_site_fract_y
_atom_site_fract_z
Ce1 0.0000 0.0000 0.0000
Pu1 0.0000 0.0000 0.5000
Zn1 0.3333 0.6667 0.7367
Ge1 0.3333 0.6667 0.2600

---

# CePuZnGe, relaxed, DFT PBE
# * ΔH_f (0 K): -0.328 eV/atom
# * crystal system: cubic
# * M_tot: 6.7 μB per formula unit
# * calculated total energy: -6.87 eV/atom
data_CePuZnGe
_chemical_formula_sum 'Ce4 Pu4 Zn4 Ge4'
_cell_length_a 7.183
_cell_length_b 7.183
_cell_length_c 7.183
_cell_angle_alpha 90.00
_cell_angle_beta 90.00
_cell_angle_gamma 90.00
_space_group_name_H-M_alt 'F -4 3 m'
_space_group_IT_number 216
_space_group_name_Hall 'F -4 2 3'
loop_
_atom_site_label
_atom_site_fract_x
_atom_site_fract_y
_atom_site_fract_z
Ce1 0.000 0.000 0.000
Pu1 0.000 0.000 0.500
Zn1 0.250 0.250 0.250
Ge1 0.250 0.250 0.750

---

# Ce5PuZnGe2, relaxed, DFT PBE
# * ΔH_f (0 K): -0.332 eV/atom
# * crystal system: tetragonal
# * M_tot: 8.4 μB per formula unit
# * calculated total energy: -6.39 eV/atom
data_Ce5PuZnGe2
_chemical_formula_sum 'Ce20 Pu4 Zn4 Ge8'
_cell_length_a 7.576
_cell_length_b 7.576
_cell_length_c 15.611
_cell_angle_alpha 90.00
_cell_angle_beta 90.00
_cell_angle_gamma 90.00
_space_group_name_H-M_alt 'I 4/m c m'
_space_group_IT_number 140
_space_group_name_Hall '-I 4 2c'
loop_
_atom_site_label
_atom_site_fract_x
_atom_site_fract_y
_atom_site_fract_z
Ce1 0.000 0.000 0.000
Ce2 0.181 0.319 0.138
Pu1 0.000 0.500 0.250
Zn1 0.000 0.000 0.250
Ge1 0.122 0.378 0.500

---

# Ce2Pu2ZnGe4, relaxed, DFT PBE
# * ΔH_f (0 K): -0.259 eV/atom
# * crystal system: tetragonal
# * M_tot: 13.6 μB per formula unit
# * calculated total energy: -6.96 eV/atom
data_Ce2Pu2ZnGe4
_chemical_formula_sum 'Ce4 Pu4 Zn2 Ge8'
_cell_length_a 6.962
_cell_length_b 6.962
_cell_length_c 8.675
_cell_angle_alpha 90.00
_cell_angle_beta 90.00
_cell_angle_gamma 90.00
_space_group_name_H-M_alt 'I 4/m m m'
_space_group_IT_number 139
_space_group_name_Hall '-I 4 2'
loop_
_atom_site_label
_atom_site_fract_x
_atom_site_fract_y
_atom_site_fract_z
Ce1 0.000 0.500 0.250
Pu1 0.000 0.000 0.177
Zn1 0.000 0.000 0.500
Ge1 0.245 0.245 0.500

---

# Rb2CeGeS4, relaxed, DFT PBE
# * formation energy (no corrections): -1.22 eV per atom
# * crystal system: monoclinic
# * M_tot: 0.0 μB per formula unit
# * calculated total energy: -4.84 eV/atom
data_Rb2CeGeS4
_chemical_formula_sum 'Rb2 Ce1 Ge1 S4'
_cell_length_a 7.106
_cell_length_b 4.153
_cell_length_c 7.906
_cell_angle_alpha 90.00
_cell_angle_beta 107.21
_cell_angle_gamma 90.00
_space_group_name_H-M_alt 'P 1 2/m 1'
_space_group_IT_number 10
loop_
_space_group_symop_operation_xyz
'x,y,z'
'-x,-y,-z'
'-x,y,-z'
'x,-y,z'
loop_
_atom_site_label
_atom_site_fract_x
_atom_site_fract_y
_atom_site_fract_z
Rb1 0.000 0.000 0.000
Rb2 0.500 0.500 0.000
Ce1 0.000 0.500 0.500
Ge1 0.500 0.000 0.500
S1 0.229 0.000 0.689
S2 0.264 0.500 0.314

---

# Rb2CeGeS5, relaxed, DFT PBE
# * formation energy (no corrections): -1.13 eV per atom
# * crystal system: orthorhombic
# * M_tot: 0.0 μB per formula unit
# * calculated total energy: -4.81 eV/atom
data_Rb2CeGeS5
_chemical_formula_sum 'Rb8 Ce4 Ge4 S20'
_cell_length_a 4.016
_cell_length_b 19.689
_cell_length_c 14.335
_cell_angle_alpha 90.00
_cell_angle_beta 90.00
_cell_angle_gamma 90.00
_space_group_name_H-M_alt 'C m c 21'
_space_group_IT_number 36
loop_
_space_group_symop_operation_xyz
'x,y,z'
'-x,-y,z+1/2'
'-x,y,z'
'x,-y,z+1/2'
'x+1/2,y+1/2,z'
'-x+1/2,-y+1/2,z+1/2'
'-x+1/2,y+1/2,z'
'x+1/2,-y+1/2,z+1/2'
loop_
_atom_site_label
_atom_site_fract_x
_atom_site_fract_y
_atom_site_fract_z
Rb1 0.000 0.124 0.000
Rb2 0.000 0.127 0.655
Ce1 0.000 0.202 0.357
Ge1 0.000 0.434 0.735
S1 0.000 0.049 0.330
S2 0.000 0.309 0.979
S3 0.000 0.321 0.715
S4 0.000 0.327 0.329
S5 0.000 0.492 0.610

---

# RbCe2GeS5, relaxed, DFT PBE
# * formation energy (no corrections): -1.40 eV per atom
# * crystal system: tetragonal
# * M_tot: 1.0 μB per formula unit
# * calculated total energy: -5.63 eV/atom
data_RbCe2GeS5
_chemical_formula_sum 'Rb4 Ce8 Ge4 S20'
_cell_length_a 7.853
_cell_length_b 7.853
_cell_length_c 14.630
_cell_angle_alpha 90.00
_cell_angle_beta 90.00
_cell_angle_gamma 90.00
_space_group_name_H-M_alt 'I 4/m c m'
_space_group_IT_number 140
_space_group_name_Hall '-I 4 2c'
loop_
_atom_site_label
_atom_site_fract_x
_atom_site_fract_y
_atom_site_fract_z
Rb1 0.000 0.000 0.250
Ce1 0.162 0.338 0.000
Ge1 0.000 0.500 0.250
S1 0.000 0.000 0.000
S2 0.145 0.355 0.380

---

# Rb2CeGe2S6, relaxed, DFT PBE
# * formation energy (no corrections): -1.00 eV per atom
# * crystal system: monoclinic
# * M_tot: 0.0 μB per formula unit
# * calculated total energy: -4.81 eV/atom
data_Rb2CeGe2S6
_chemical_formula_sum 'Rb4 Ce2 Ge4 S12'
_cell_length_a 12.473
_cell_length_b 7.306
_cell_length_c 8.232
_cell_angle_alpha 90.00
_cell_angle_beta 122.45
_cell_angle_gamma 90.00
_space_group_name_H-M_alt 'C 1 2/m 1'
_space_group_IT_number 12
loop_
_space_group_symop_operation_xyz
'x,y,z'
'-x,-y,-z'
'-x,y,-z'
'x,-y,z'
'x+1/2,y+1/2,z'
'-x+1/2,-y+1/2,-z'
'-x+1/2,y+1/2,-z'
'x+1/2,-y+1/2,z'
loop_
_atom_site_label
_atom_site_fract_x
_atom_site_fract_y
_atom_site_fract_z
Rb1 0.215 0.000 0.204
Ce1 0.000 0.000 0.500
Ge1 0.038 0.500 0.176
S1 0.046 0.250 0.781
S2 0.250 0.000 0.642

---

no.,calculated volume (Å³ per cell)
1,314.6
2,935.9
3,147.1
4,360.1
5,123.7
6,370.5
7,896.0
8,420.4
9,222.9
10,1133.5
11,902.3
12,633.0